{"formula": "Ti2NbSb4", "functional": "PBE-GGA", "state": "optimized geometry", "cell": [[-0.814, -5.752, 4.167], [4.187, 1.852, 3.375], [-4.972, 6.035, 2.855]], "species": ["Ti", "Ti", "Ti", "Ti", "Nb", "Nb", "Sb", "Sb", "Sb", "Sb", "Sb", "Sb", "Sb", "Sb"], "frac_coords": [[0.314, 0.250, 0.434], [0.686, 0.750, 0.566], [0.769, 0.750, 0.055], [0.231, 0.250, 0.945], [0.175, 0.750, 0.195], [0.825, 0.250, 0.805], [0.995, 0.250, 0.564], [0.473, 0.504, 0.768], [0.527, 0.496, 0.232], [0.473, 0.996, 0.768], [0.024, 0.750, 0.849], [0.976, 0.250, 0.151], [0.005, 0.750, 0.436], [0.527, 0.004, 0.232]], "dos_at_fermi_per_ev_cell": 11.8, "total_magnetization_mub_per_atom": 0.00, "total_energy_ev_per_atom": -6.12, "spacegroup": "P2_1/m (11)"}